Compound: ScAsIr2
Source: Alexandria via LeMat-Bulk
Functional: GGA-PBE
Structure: optimized geometry

## Properties
- DFT total energy: -7.6973 eV/atom
- SG: I4/mmm (139)
- Spin magnetization: 0.0 μB/f.u.
- D(E_F): 0.390 states/eV per atom

Cell: 4.755 4.755 4.755 Å, 128.96 128.96 75.08°
Atoms (fractional coordinates):
1 As 0.750 0.250 0.500
2 Ir 0.000 0.000 0.000
3 Ir 0.500 0.500 0.000
4 Sc 0.250 0.750 0.500